[1]
Density functional theory data (PBE) for a relaxed K3NbAs3 crystal.

Calculated values
Its calculated formation energy is -2.27 eV per formula unit.

a b c (Å): 7.5605 7.5605 8.8518
angles (deg): 93.34 93.34 100.27
With the nearest neighbours (Å) after each atom.
Element x y z (fractional)
K (0.1714, 0.8286, 0.0000)  6 As 3.54-3.73
K (0.2915, 0.7085, 0.5000)  2 As 3.48, 2 Nb 3.74
K (0.3718, 0.3718, 0.1381)  5 As 3.13-3.36
K (0.6282, 0.6282, 0.8619)  5 As 3.13-3.36
K (0.7085, 0.2915, 0.5000)  2 As 3.48, 2 Nb 3.74
K (0.8286, 0.1714, 0.0000)  6 As 3.54-3.73
Nb (0.1363, 0.1363, 0.6172)  4 As 2.52-2.54
Nb (0.8637, 0.8637, 0.3828)  4 As 2.52-2.54
As (0.1150, 0.1150, 0.3289)  2 Nb 2.52-2.54
As (0.1973, 0.4216, 0.7898)  1 Nb 2.53, 1 As 2.60
As (0.4216, 0.1973, 0.7898)  1 Nb 2.53, 1 As 2.60
As (0.5784, 0.8027, 0.2102)  1 Nb 2.53, 1 As 2.60
As (0.8027, 0.5784, 0.2102)  1 Nb 2.53, 1 As 2.60
As (0.8850, 0.8850, 0.6711)  2 Nb 2.52-2.54

[2]
Density functional theory data (PBE) for a relaxed LaRe2Mo crystal.

Calculated values
Its calculated formation energy is 2.36 eV per formula unit.

a b c (Å): 10.0117 10.0117 10.0117
angles (deg): 16.69 16.69 16.69
With the nearest neighbours (Å) after each atom.
Element x y z (fractional)
La (0.0000, 0.0000, 0.0000)  6 La 2.91
Re (0.2390, 0.2390, 0.2390)  3 Mo 2.72, 6 Re 2.91
Re (0.7610, 0.7610, 0.7610)  3 Mo 2.72, 6 Re 2.91
Mo (0.5000, 0.5000, 0.5000)  6 Re 2.72, 6 Mo 2.91

[3]
Density functional theory data (PBE) for a relaxed HfThGaAg crystal.

Calculated values
Its calculated formation energy is -0.48 eV per formula unit.

a b c (Å): 5.0472 5.0472 5.0472
angles (deg): 60.00 60.00 60.00
With the nearest neighbours (Å) after each atom.
Element x y z (fractional)
Hf (0.0000, 0.0000, 0.0000)  4 Ag 3.09, 4 Ga 3.09
Th (0.5000, 0.5000, 0.5000)  4 Ag 3.09, 4 Ga 3.09
Ga (0.2500, 0.2500, 0.2500)  4 Th 3.09, 4 Hf 3.09
Ag (0.7500, 0.7500, 0.7500)  4 Th 3.09, 4 Hf 3.09

Number 1: mass density 2.91 Mg/m³. Number 2: mass density 13.97 Mg/m³. Number 3: mass density 10.74 Mg/m³.